1.
The following is a DFT calculation (GGA-PBE) of a geometry-optimized Li5Zr structure.

The symmetry is No. 189.

abc: 5.1487 5.1487 4.9281
angles: 90.00 90.00 120.00
Last column: nearest neighbours and their distance in Å.
Fractional positions:
Li 0.0000 0.6357 0.0000  8 Li 2.84-2.96, 2 Zr 3.10
Li 0.3333 0.6667 0.5000  9 Li 2.96-2.97, 3 Zr 2.97
Li 0.3643 0.3643 0.0000  8 Li 2.84-2.96, 2 Zr 3.10
Li 0.6357 0.0000 0.0000  8 Li 2.84-2.96, 2 Zr 3.10
Li 0.6667 0.3333 0.5000  9 Li 2.96-2.97, 3 Zr 2.97
Zr 0.0000 0.0000 0.5000  12 Li 2.97-3.10

---

2.
The following is a DFT calculation (GGA-PBE) of a geometry-optimized Li2Zr3 structure.

The symmetry is No. 166.

abc: 13.9918 13.9918 13.9918
angles: 12.35 12.35 12.35
Last column: nearest neighbours and their distance in Å.
Fractional positions:
Li 0.1002 0.1002 0.1002  6 Li 3.01, 6 Zr 3.27-3.29
Li 0.8998 0.8998 0.8998  6 Li 3.01, 6 Zr 3.27-3.29
Zr 0.3002 0.3002 0.3002  9 Zr 3.01-3.26, 3 Li 3.29
Zr 0.5000 0.5000 0.5000  6 Zr 3.01, 6 Li 3.27
Zr 0.6998 0.6998 0.6998  9 Zr 3.01-3.26, 3 Li 3.29

---

3.
The following is a DFT calculation (GGA-PBE) of a geometry-optimized LiZr3 structure.

The symmetry is No. 62.

abc: 5.5813 9.9404 6.1139
angles: 90.00 90.00 90.00
Last column: nearest neighbours and their distance in Å.
Fractional positions:
Li 0.0907 0.2500 0.1360  6 Zr 2.85-2.93, 2 Li 3.12
Li 0.4093 0.7500 0.6360  6 Zr 2.85-2.93, 2 Li 3.12
Li 0.5907 0.2500 0.3640  6 Zr 2.85-2.93, 2 Li 3.12
Li 0.9093 0.7500 0.8640  6 Zr 2.85-2.93, 2 Li 3.12
Zr 0.0011 0.2500 0.6633  3 Li 2.93-3.26, 6 Zr 2.99-3.15
Zr 0.2462 0.5246 0.8832  2 Li 2.85-2.93, 5 Zr 3.09-3.15
Zr 0.2462 0.9754 0.8832  2 Li 2.85-2.93, 5 Zr 3.09-3.15
Zr 0.2538 0.0246 0.3832  2 Li 2.85-2.93, 5 Zr 3.09-3.15
Zr 0.2538 0.4754 0.3832  2 Li 2.85-2.93, 5 Zr 3.09-3.15
Zr 0.4989 0.7500 0.1633  3 Li 2.93-3.26, 6 Zr 2.99-3.15
Zr 0.5011 0.2500 0.8367  3 Li 2.93-3.26, 6 Zr 2.99-3.15
Zr 0.7462 0.5246 0.6168  2 Li 2.85-2.93, 5 Zr 3.09-3.15
Zr 0.7462 0.9754 0.6168  2 Li 2.85-2.93, 5 Zr 3.09-3.15
Zr 0.7538 0.0246 0.1168  2 Li 2.85-2.93, 5 Zr 3.09-3.15
Zr 0.7538 0.4754 0.1168  2 Li 2.85-2.93, 5 Zr 3.09-3.15
Zr 0.9989 0.7500 0.3367  3 Li 2.93-3.26, 6 Zr 2.99-3.15

---

4.
The following is a DFT calculation (GGA-PBE) of a geometry-optimized Li5Zr structure.

The symmetry is No. 8.

abc: 6.1062 6.1062 7.2926
angles: 104.96 104.96 27.00
Last column: nearest neighbours and their distance in Å.
Fractional positions:
Li 0.0000 0.0000 0.0000  9 Li 2.85-3.06, 2 Zr 3.19
Li 0.0542 0.0542 0.6175  10 Li 2.85-3.19, 2 Zr 3.11
Li 0.3301 0.3301 0.6776  11 Li 2.85-3.19, 1 Zr 3.05
Li 0.6479 0.6479 0.3329  9 Li 2.85-3.19, 3 Zr 3.16
Li 0.7178 0.7178 0.9480  9 Li 2.85-3.13, 2 Zr 3.02
Zr 0.3757 0.3757 0.2853  2 Zr 2.85, 10 Li 3.02-3.19

---

Number 1: energy relative to the elements 1.890 eV per formula unit, total magnetization 0.5 μB/cell. Number 2: energy relative to the elements 1.025 eV per formula unit, total magnetization 0.0 μB/cell. Number 3: energy relative to the elements 0.677 eV per formula unit, total magnetization 0.0 μB/cell. Number 4: energy relative to the elements 1.085 eV per formula unit, total magnetization 0.0 μB/cell.